Record 1
The following is a DFT calculation (PBE) of a geometry-optimized RbCuPt structure.

Values from the calculation:
E in eV per atom: -2.89
Space-group type: F-43m

Geometry as POSCAR:
```
RbCuPt
1.0
6.651 0.000 0.000
0.000 6.651 0.000
0.000 0.000 6.651
Rb Cu Pt
4 4 4
direct
0.000 0.000 0.000 Rb
0.000 0.500 0.500 Rb
0.500 0.000 0.500 Rb
0.500 0.500 0.000 Rb
0.250 0.250 0.250 Cu
0.250 0.750 0.750 Cu
0.750 0.250 0.750 Cu
0.750 0.750 0.250 Cu
0.000 0.000 0.500 Pt
0.000 0.500 0.000 Pt
0.500 0.000 0.000 Pt
0.500 0.500 0.500 Pt
```

Record 2
The following is a DFT calculation (PBE) of a geometry-optimized RbCuPtSeS2 structure.

Values from the calculation:
E in eV per atom: -4.21
Space-group type: Cmcm

Geometry as POSCAR:
```
RbCuPtSeS2
1.0
1.869 -7.417 0.000
1.869 7.417 0.000
0.000 0.000 10.190
Rb Cu Pt Se S
2 2 2 2 4
direct
0.247 0.753 0.750 Rb
0.753 0.247 0.250 Rb
0.453 0.547 0.250 Cu
0.547 0.453 0.750 Cu
0.000 0.000 0.000 Pt
0.000 0.000 0.500 Pt
0.057 0.943 0.250 Se
0.943 0.057 0.750 Se
0.399 0.601 0.042 S
0.399 0.601 0.458 S
0.601 0.399 0.542 S
0.601 0.399 0.958 S
```

Record 3
The following is a DFT calculation (PBE) of a geometry-optimized RbCu3PtSe4 structure.

Values from the calculation:
E in eV per atom: -3.62
Space-group type: P-43m

Geometry as POSCAR:
```
RbCu3PtSe4
1.0
6.221 0.000 0.000
0.000 6.221 0.000
0.000 0.000 6.221
Rb Cu Pt Se
1 3 1 4
direct
0.000 0.000 0.000 Rb
0.000 0.500 0.500 Cu
0.500 0.000 0.500 Cu
0.500 0.500 0.000 Cu
0.500 0.500 0.500 Pt
0.278 0.278 0.278 Se
0.278 0.722 0.722 Se
0.722 0.278 0.722 Se
0.722 0.722 0.278 Se
```

Record 4
The following is a DFT calculation (PBE) of a geometry-optimized RbCuTePtSe2 structure.

Values from the calculation:
E in eV per atom: -3.91
Space-group type: Cmcm

Geometry as POSCAR:
```
RbCuTePtSe2
1.0
1.941 -7.790 0.000
1.941 7.790 0.000
0.000 0.000 10.787
Rb Cu Te Pt Se
2 2 2 2 4
direct
0.240 0.760 0.750 Rb
0.760 0.240 0.250 Rb
0.449 0.551 0.250 Cu
0.551 0.449 0.750 Cu
0.059 0.941 0.250 Te
0.941 0.059 0.750 Te
0.000 0.000 0.000 Pt
0.000 0.000 0.500 Pt
0.397 0.603 0.039 Se
0.397 0.603 0.461 Se
0.603 0.397 0.539 Se
0.603 0.397 0.961 Se
```

Record 5
The following is a DFT calculation (PBE) of a geometry-optimized RbCuTe2PtSe structure.

Values from the calculation:
E in eV per atom: -3.82
Space-group type: Cmcm

Geometry as POSCAR:
```
RbCuTe2PtSe
1.0
2.024 -7.613 0.000
2.024 7.613 0.000
0.000 0.000 10.922
Rb Cu Te Pt Se
2 2 4 2 2
direct
0.245 0.755 0.750 Rb
0.755 0.245 0.250 Rb
0.045 0.955 0.250 Cu
0.955 0.045 0.750 Cu
0.114 0.886 0.032 Te
0.114 0.886 0.468 Te
0.886 0.114 0.532 Te
0.886 0.114 0.968 Te
0.500 0.500 0.000 Pt
0.500 0.500 0.500 Pt
0.458 0.542 0.250 Se
0.542 0.458 0.750 Se
```

Record 6
The following is a DFT calculation (PBE) of a geometry-optimized RbCuTe3Pt structure.

Values from the calculation:
E in eV per atom: -3.75
Space-group type: Pnma

Geometry as POSCAR:
```
RbCuTe3Pt
1.0
11.293 0.000 0.000
0.000 4.151 0.000
0.000 0.000 14.779
Rb Cu Te Pt
4 4 12 4
direct
0.247 0.250 0.003 Rb
0.253 0.750 0.503 Rb
0.747 0.250 0.497 Rb
0.753 0.750 0.997 Rb
0.243 0.250 0.696 Cu
0.257 0.750 0.196 Cu
0.743 0.250 0.804 Cu
0.757 0.750 0.304 Cu
0.029 0.250 0.629 Te
0.038 0.750 0.139 Te
0.247 0.750 0.799 Te
0.253 0.250 0.299 Te
0.462 0.250 0.639 Te
0.471 0.750 0.129 Te
0.529 0.250 0.871 Te
0.538 0.750 0.361 Te
0.747 0.750 0.701 Te
0.753 0.250 0.201 Te
0.962 0.250 0.861 Te
0.971 0.750 0.371 Te
0.006 0.250 0.255 Pt
0.494 0.750 0.755 Pt
0.506 0.250 0.245 Pt
0.994 0.750 0.745 Pt
```

Record 7
The following is a DFT calculation (PBE) of a geometry-optimized RbCuTe3Pt structure.

Values from the calculation:
E in eV per atom: -3.75
Space-group type: Cmcm

Geometry as POSCAR:
```
RbCuTe3Pt
1.0
2.048 -7.792 0.000
2.048 7.792 0.000
0.000 0.000 11.170
Rb Cu Te Pt
2 2 6 2
direct
0.244 0.756 0.750 Rb
0.756 0.244 0.250 Rb
0.451 0.549 0.250 Cu
0.549 0.451 0.750 Cu
0.052 0.948 0.250 Te
0.389 0.611 0.034 Te
0.389 0.611 0.466 Te
0.611 0.389 0.534 Te
0.611 0.389 0.966 Te
0.948 0.052 0.750 Te
0.000 0.000 0.000 Pt
0.000 0.000 0.500 Pt
```

Record 8
The following is a DFT calculation (PBE) of a geometry-optimized RbCuTe3Pt structure.

Values from the calculation:
E in eV per atom: -3.81
Space-group type: P2_1/m

Geometry as POSCAR:
```
RbCuTe3Pt
1.0
8.513 0.000 0.000
0.000 4.188 0.000
-3.805 0.000 10.211
Rb Cu Te Pt
2 2 6 2
direct
0.243 0.250 0.188 Rb
0.757 0.750 0.812 Rb
0.441 0.250 0.926 Cu
0.559 0.750 0.074 Cu
0.053 0.750 0.385 Te
0.243 0.750 0.914 Te
0.380 0.250 0.667 Te
0.620 0.750 0.333 Te
0.757 0.250 0.086 Te
0.947 0.250 0.615 Te
0.164 0.750 0.649 Pt
0.836 0.250 0.351 Pt
```